one.
This record from Alexandria describes a PBEsol-optimized structure of SbRh2Cl. The functional is meta-GGA SCAN.

abc: 6.412 6.412 6.412
angles: 90.00 90.00 90.00
Fractional coordinates of all 16 atoms:
1 Sb 0.000 0.000 0.000
2 Sb 0.000 0.500 0.500
3 Sb 0.500 0.000 0.500
4 Sb 0.500 0.500 0.000
5 Rh 0.000 0.000 0.500
6 Rh 0.000 0.500 0.000
7 Rh 0.250 0.250 0.750
8 Rh 0.250 0.750 0.250
9 Rh 0.500 0.000 0.000
10 Rh 0.500 0.500 0.500
11 Rh 0.750 0.250 0.250
12 Rh 0.750 0.750 0.750
13 Cl 0.250 0.250 0.250
14 Cl 0.250 0.750 0.750
15 Cl 0.750 0.250 0.750
16 Cl 0.750 0.750 0.250

Values from the calculation:
- ρ (g/cm³) = 9.15
- space-group type = F-43m

two.
This record from Alexandria describes a PBEsol-optimized structure of SbRh2Cl. The functional is meta-GGA SCAN.

abc: 9.765 3.143 4.338
angles: 90.00 96.85 90.00
Fractional coordinates of all 8 atoms:
1 Sb 0.000 0.000 0.000
2 Sb 0.500 0.500 0.000
3 Rh 0.221 0.500 0.170
4 Rh 0.460 0.000 0.477
5 Rh 0.721 0.000 0.170
6 Rh 0.960 0.500 0.477
7 Cl 0.239 0.000 0.627
8 Cl 0.739 0.500 0.627

Values from the calculation:
- ρ (g/cm³) = 9.12
- space-group type = Cm

Which one sits at the top of the stability order? two does.

one.
This record from Alexandria describes a PBEsol-optimized structure of Sc2RhCl. The functional is meta-GGA SCAN.

abc: 3.084 3.260 7.490
angles: 90.00 90.00 90.00
Fractional coordinates of all 4 atoms:
1 Sc 0.000 0.000 0.212
2 Sc 0.000 0.000 0.788
3 Rh 0.500 0.500 0.000
4 Cl 0.500 0.000 0.500

Values from the calculation:
- ρ (g/cm³) = 5.03
- space-group type = Pmmm

two.
This record from Alexandria describes a PBEsol-optimized structure of Sc2RhCl. The functional is meta-GGA SCAN.

abc: 3.159 4.340 5.200
angles: 90.00 90.00 90.00
Fractional coordinates of all 4 atoms:
1 Sc 0.000 0.000 0.000
2 Sc 0.500 0.500 0.500
3 Rh 0.000 0.000 0.500
4 Cl 0.500 0.500 0.000

Values from the calculation:
- ρ (g/cm³) = 5.32
- space-group type = Pmmm

Which one sits at the top of the stability order? one does.

one.
This record from Alexandria describes a PBEsol-optimized structure of TcRhCl3. The functional is meta-GGA SCAN.

abc: 4.686 4.686 4.686
angles: 90.00 90.00 90.00
Fractional coordinates of all 5 atoms:
1 Tc 0.000 0.000 0.000
2 Rh 0.500 0.500 0.500
3 Cl 0.000 0.500 0.500
4 Cl 0.500 0.000 0.500
5 Cl 0.500 0.500 0.000

Values from the calculation:
- ρ (g/cm³) = 4.96
- space-group type = Pm-3m

two.
This record from Alexandria describes a PBEsol-optimized structure of TcRhCl3. The functional is meta-GGA SCAN.

abc: 4.694 4.694 4.694
angles: 90.00 90.00 90.00
Fractional coordinates of all 5 atoms:
1 Tc 0.000 0.000 0.000
2 Rh 0.500 0.500 0.500
3 Cl 0.000 0.000 0.500
4 Cl 0.000 0.500 0.000
5 Cl 0.500 0.000 0.000

Values from the calculation:
- ρ (g/cm³) = 4.93
- space-group type = Pm-3m

Which one sits at the top of the stability order? one does.

one.
This record from Alexandria describes a PBEsol-optimized structure of YRh2Cl. The functional is meta-GGA SCAN.

abc: 9.872 3.156 4.376
angles: 90.00 93.09 90.00
Fractional coordinates of all 8 atoms:
1 Y 0.000 0.000 0.000
2 Y 0.500 0.500 0.000
3 Rh 0.224 0.500 0.235
4 Rh 0.276 0.000 0.765
5 Rh 0.724 0.000 0.235
6 Rh 0.776 0.500 0.765
7 Cl 0.000 0.500 0.500
8 Cl 0.500 0.000 0.500

Values from the calculation:
- ρ (g/cm³) = 8.05
- space-group type = C2/m

two.
This record from Alexandria describes a PBEsol-optimized structure of YRh2Cl. The functional is meta-GGA SCAN.

abc: 3.162 4.196 5.224
angles: 90.00 90.00 90.00
Fractional coordinates of all 4 atoms:
1 Y 0.000 0.000 0.000
2 Rh 0.500 0.500 0.254
3 Rh 0.500 0.500 0.746
4 Cl 0.000 0.000 0.500

Values from the calculation:
- ρ (g/cm³) = 7.91
- space-group type = Pmmm

Which one sits at the top of the stability order? one does.

one.
This record from Alexandria describes a PBEsol-optimized structure of Zn2RhCl. The functional is meta-GGA SCAN.

abc: 3.026 3.040 6.924
angles: 90.00 90.00 90.00
Fractional coordinates of all 4 atoms:
1 Zn 0.000 0.000 0.207
2 Zn 0.000 0.000 0.793
3 Rh 0.500 0.500 0.000
4 Cl 0.500 0.000 0.500

Values from the calculation:
- ρ (g/cm³) = 7.02
- space-group type = Pmmm

two.
This record from Alexandria describes a PBEsol-optimized structure of Zn2RhCl. The functional is meta-GGA SCAN.

abc: 3.022 3.022 6.770
angles: 90.00 90.00 90.00
Fractional coordinates of all 4 atoms:
1 Zn 0.000 0.000 0.211
2 Zn 0.000 0.000 0.789
3 Rh 0.500 0.500 0.000
4 Cl 0.500 0.500 0.500

Values from the calculation:
- ρ (g/cm³) = 7.23
- space-group type = P4/mmm

Which one sits at the top of the stability order? one does.

one.
This record from Alexandria describes a PBEsol-optimized structure of ZnRh2Cl. The functional is meta-GGA SCAN.

abc: 4.276 4.276 6.089
angles: 90.00 90.00 90.00
Fractional coordinates of all 8 atoms:
1 Zn 0.000 0.000 0.000
2 Zn 0.500 0.500 0.500
3 Rh 0.000 0.500 0.250
4 Rh 0.000 0.500 0.750
5 Rh 0.500 0.000 0.250
6 Rh 0.500 0.000 0.750
7 Cl 0.000 0.000 0.500
8 Cl 0.500 0.500 0.000

Values from the calculation:
- ρ (g/cm³) = 9.15
- space-group type = I4/mmm

two.
This record from Alexandria describes a PBEsol-optimized structure of ZnRh2Cl. The functional is meta-GGA SCAN.

abc: 2.838 4.960 8.289
angles: 90.00 90.00 90.00
Fractional coordinates of all 8 atoms:
1 Zn 0.000 0.000 0.000
2 Zn 0.500 0.500 0.000
3 Rh 0.000 0.000 0.495
4 Rh 0.000 0.500 0.753
5 Rh 0.500 0.000 0.753
6 Rh 0.500 0.500 0.495
7 Cl 0.000 0.500 0.247
8 Cl 0.500 0.000 0.247

Values from the calculation:
- ρ (g/cm³) = 8.73
- space-group type = Cmm2

Which one sits at the top of the stability order? two does.

one.
This record from Alexandria describes a PBEsol-optimized structure of RuCl. The functional is meta-GGA SCAN.

abc: 2.928 2.928 8.082
angles: 90.00 90.00 120.00
Fractional coordinates of all 4 atoms:
1 Ru 0.333 0.667 0.000
2 Ru 0.667 0.333 0.500
3 Cl 0.333 0.667 0.273
4 Cl 0.667 0.333 0.773

Values from the calculation:
- ρ (g/cm³) = 7.55
- space-group type = P6_3mc

two.
This record from Alexandria describes a PBEsol-optimized structure of RuCl. The functional is meta-GGA SCAN.

abc: 6.182 6.182 6.182
angles: 90.00 90.00 90.00
Fractional coordinates of all 16 atoms:
1 Ru 0.125 0.125 0.125
2 Ru 0.125 0.625 0.625
3 Ru 0.375 0.375 0.875
4 Ru 0.375 0.875 0.375
5 Ru 0.625 0.125 0.625
6 Ru 0.625 0.625 0.125
7 Ru 0.875 0.375 0.375
8 Ru 0.875 0.875 0.875
9 Cl 0.125 0.125 0.625
10 Cl 0.125 0.625 0.125
11 Cl 0.375 0.375 0.375
12 Cl 0.375 0.875 0.875
13 Cl 0.625 0.125 0.125
14 Cl 0.625 0.625 0.625
15 Cl 0.875 0.375 0.875
16 Cl 0.875 0.875 0.375

Values from the calculation:
- ρ (g/cm³) = 7.68
- space-group type = Fd-3m

Which one sits at the top of the stability order? one does.

one.
This record from Alexandria describes a PBEsol-optimized structure of SbRu2Cl. The functional is meta-GGA SCAN.

abc: 2.997 3.810 5.629
angles: 90.00 90.00 90.00
Fractional coordinates of all 4 atoms:
1 Sb 0.000 0.000 0.000
2 Ru 0.000 0.000 0.497
3 Ru 0.500 0.500 0.794
4 Cl 0.500 0.500 0.394

Values from the calculation:
- ρ (g/cm³) = 9.28
- space-group type = Pmm2

two.
This record from Alexandria describes a PBEsol-optimized structure of SbRu2Cl. The functional is meta-GGA SCAN.

abc: 3.079 3.079 23.408
angles: 90.00 90.00 120.00
Fractional coordinates of all 12 atoms:
1 Sb 0.000 0.000 0.000
2 Sb 0.333 0.667 0.667
3 Sb 0.667 0.333 0.333
4 Ru 0.000 0.000 0.250
5 Ru 0.000 0.000 0.750
6 Ru 0.333 0.667 0.416
7 Ru 0.333 0.667 0.917
8 Ru 0.667 0.333 0.083
9 Ru 0.667 0.333 0.584
10 Cl 0.000 0.000 0.500
11 Cl 0.333 0.667 0.167
12 Cl 0.667 0.333 0.833

Values from the calculation:
- ρ (g/cm³) = 9.31
- space-group type = R-3m

three.
This record from Alexandria describes a PBEsol-optimized structure of SbRu2Cl. The functional is meta-GGA SCAN.

abc: 3.083 5.349 8.122
angles: 90.00 90.00 90.00
Fractional coordinates of all 8 atoms:
1 Sb 0.000 0.000 0.000
2 Sb 0.500 0.500 0.000
3 Ru 0.000 0.500 0.248
4 Ru 0.000 0.500 0.752
5 Ru 0.500 0.000 0.248
6 Ru 0.500 0.000 0.752
7 Cl 0.000 0.000 0.500
8 Cl 0.500 0.500 0.500

Values from the calculation:
- ρ (g/cm³) = 8.91
- space-group type = Cmmm

Which one sits at the top of the stability order? two does.

one.
This record from Alexandria describes a PBEsol-optimized structure of RuSe2Cl. The functional is meta-GGA SCAN.

abc: 6.509 6.509 9.185
angles: 90.00 90.00 90.00
Fractional coordinates of all 16 atoms:
1 Ru 0.000 0.000 0.000
2 Ru 0.000 0.500 0.250
3 Ru 0.500 0.000 0.750
4 Ru 0.500 0.500 0.500
5 Se 0.177 0.750 0.125
6 Se 0.250 0.177 0.875
7 Se 0.250 0.323 0.375
8 Se 0.323 0.750 0.625
9 Se 0.677 0.250 0.625
10 Se 0.750 0.677 0.375
11 Se 0.750 0.823 0.875
12 Se 0.823 0.250 0.125
13 Cl 0.000 0.000 0.500
14 Cl 0.000 0.500 0.750
15 Cl 0.500 0.000 0.250
16 Cl 0.500 0.500 0.000

Values from the calculation:
- ρ (g/cm³) = 5.03
- space-group type = I-42d

two.
This record from Alexandria describes a PBEsol-optimized structure of RuSe2Cl. The functional is meta-GGA SCAN.

abc: 3.120 3.120 28.435
angles: 90.00 90.00 120.00
Fractional coordinates of all 12 atoms:
1 Ru 0.000 0.000 0.000
2 Ru 0.333 0.667 0.667
3 Ru 0.667 0.333 0.333
4 Se 0.000 0.000 0.488
5 Se 0.000 0.000 0.722
6 Se 0.333 0.667 0.155
7 Se 0.333 0.667 0.389
8 Se 0.667 0.333 0.056
9 Se 0.667 0.333 0.821
10 Cl 0.000 0.000 0.271
11 Cl 0.333 0.667 0.938
12 Cl 0.667 0.333 0.604

Values from the calculation:
- ρ (g/cm³) = 6.12
- space-group type = R3m

Which one sits at the top of the stability order? one does.

one.
This record from Alexandria describes a PBEsol-optimized structure of TaRuCl2. The functional is meta-GGA SCAN.

abc: 3.057 4.181 13.220
angles: 90.00 90.00 90.00
Fractional coordinates of all 8 atoms:
1 Ta 0.000 0.000 0.000
2 Ta 0.500 0.500 0.500
3 Ru 0.000 0.000 0.500
4 Ru 0.500 0.500 0.000
5 Cl 0.000 0.500 0.348
6 Cl 0.000 0.500 0.652
7 Cl 0.500 0.000 0.152
8 Cl 0.500 0.000 0.848

Values from the calculation:
- ρ (g/cm³) = 6.94
- space-group type = Immm

two.
This record from Alexandria describes a PBEsol-optimized structure of TaRuCl2. The functional is meta-GGA SCAN.

abc: 5.578 8.500 3.323
angles: 90.00 125.98 90.00
Fractional coordinates of all 8 atoms:
1 Ta 0.000 0.000 0.000
2 Ta 0.500 0.500 0.000
3 Ru 0.000 0.500 0.000
4 Ru 0.500 0.000 0.000
5 Cl 0.250 0.250 0.000
6 Cl 0.250 0.750 0.000
7 Cl 0.750 0.250 0.000
8 Cl 0.750 0.750 0.000

Values from the calculation:
- ρ (g/cm³) = 9.19
- space-group type = C2/m

Which one sits at the top of the stability order? one does.

one.
This record from Alexandria describes a PBEsol-optimized structure of TaRu2Cl. The functional is meta-GGA SCAN.

abc: 2.874 4.377 4.600
angles: 90.00 90.00 90.00
Fractional coordinates of all 4 atoms:
1 Ta 0.000 0.000 0.000
2 Ru 0.000 0.500 0.500
3 Ru 0.500 0.500 0.000
4 Cl 0.500 0.000 0.500

Values from the calculation:
- ρ (g/cm³) = 12.01
- space-group type = Pmmm

two.
This record from Alexandria describes a PBEsol-optimized structure of TaRu2Cl. The functional is meta-GGA SCAN.

abc: 3.114 4.902 8.184
angles: 90.00 90.00 90.00
Fractional coordinates of all 8 atoms:
1 Ta 0.000 0.000 0.000
2 Ta 0.500 0.500 0.000
3 Ru 0.000 0.500 0.243
4 Ru 0.000 0.500 0.757
5 Ru 0.500 0.000 0.243
6 Ru 0.500 0.000 0.757
7 Cl 0.000 0.000 0.500
8 Cl 0.500 0.500 0.500

Values from the calculation:
- ρ (g/cm³) = 11.13
- space-group type = Cmmm

three.
This record from Alexandria describes a PBEsol-optimized structure of TaRu2Cl. The functional is meta-GGA SCAN.

abc: 3.007 3.007 24.059
angles: 90.00 90.00 120.00
Fractional coordinates of all 12 atoms:
1 Ta 0.000 0.000 0.000
2 Ta 0.333 0.667 0.667
3 Ta 0.667 0.333 0.333
4 Ru 0.000 0.000 0.253
5 Ru 0.000 0.000 0.747
6 Ru 0.333 0.667 0.414
7 Ru 0.333 0.667 0.920
8 Ru 0.667 0.333 0.080
9 Ru 0.667 0.333 0.586
10 Cl 0.000 0.000 0.500
11 Cl 0.333 0.667 0.167
12 Cl 0.667 0.333 0.833

Values from the calculation:
- ρ (g/cm³) = 11.07
- space-group type = R-3m

Which one sits at the top of the stability order? three does.

one.
This record from Alexandria describes a PBEsol-optimized structure of TcRuCl. The functional is meta-GGA SCAN.

abc: 5.547 5.547 5.547
angles: 90.00 90.00 90.00
Fractional coordinates of all 12 atoms:
1 Tc 0.000 0.000 0.000
2 Tc 0.000 0.500 0.500
3 Tc 0.500 0.000 0.500
4 Tc 0.500 0.500 0.000
5 Ru 0.000 0.000 0.500
6 Ru 0.000 0.500 0.000
7 Ru 0.500 0.000 0.000
8 Ru 0.500 0.500 0.500
9 Cl 0.250 0.250 0.250
10 Cl 0.250 0.750 0.750
11 Cl 0.750 0.250 0.750
12 Cl 0.750 0.750 0.250

Values from the calculation:
- ρ (g/cm³) = 9.13
- space-group type = F-43m

two.
This record from Alexandria describes a PBEsol-optimized structure of TcRuCl. The functional is meta-GGA SCAN.

abc: 4.029 4.029 2.898
angles: 90.00 90.00 120.00
Fractional coordinates of all 3 atoms:
1 Tc 0.000 0.000 0.000
2 Ru 0.333 0.667 0.486
3 Cl 0.667 0.333 0.815

Values from the calculation:
- ρ (g/cm³) = 9.56
- space-group type = P3m1

Which one sits at the top of the stability order? two does.